# 1
Material: NdSm2
Method: DFT, PBE-GGA
State: optimized geometry

Lattice parameters (Å, degrees): 17.869 17.869 17.869 11.76 11.76 11.76
Positions (direct):
Nd 0.083 0.083 0.083
Nd 0.917 0.917 0.917
Sm 0.194 0.194 0.194
Sm 0.361 0.361 0.361
Sm 0.639 0.639 0.639
Sm 0.806 0.806 0.806

Computed properties:
* space group: No. 166
* DOS(E_F): 8.47 states/eV per cell
* total magnetic moment: 0.000 μB/f.u.

=====

# 2
Material: ZrP3Os
Method: DFT, PBE-GGA
State: optimized geometry

Lattice parameters (Å, degrees): 4.599 4.599 4.599 90.00 90.00 90.00
Positions (direct):
Zr 0.000 0.000 0.000
P 0.000 0.500 0.500
P 0.500 0.000 0.500
P 0.500 0.500 0.000
Os 0.500 0.500 0.500

Computed properties:
* space group: No. 221
* DOS(E_F): 8.29 states/eV per cell
* total magnetic moment: 0.001 μB/f.u.

=====

# 3
Material: Ba2HfOs
Method: DFT, PBE-GGA
State: optimized geometry

Lattice parameters (Å, degrees): 7.728 7.728 7.728 90.00 90.00 90.00
Positions (direct):
Ba 0.250 0.250 0.250
Ba 0.250 0.250 0.750
Ba 0.250 0.750 0.250
Ba 0.250 0.750 0.750
Ba 0.750 0.250 0.250
Ba 0.750 0.250 0.750
Ba 0.750 0.750 0.250
Ba 0.750 0.750 0.750
Hf 0.000 0.000 0.000
Hf 0.000 0.500 0.500
Hf 0.500 0.000 0.500
Hf 0.500 0.500 0.000
Os 0.000 0.000 0.500
Os 0.000 0.500 0.000
Os 0.500 0.000 0.000
Os 0.500 0.500 0.500

Computed properties:
* space group: No. 225
* DOS(E_F): 28.85 states/eV per cell
* total magnetic moment: 0.000 μB/f.u.

=====

no.,distance to the lowest polymorph of the same formula (meV per atom)
1,0
2,0
3,1111